DFT (PBE) results for an optimized crystal structure of CeGdAg4.

Output
**Final energy**: -5.35 eV per atom
**Magnetization**: 8.5 μB/cell
**Formation energy from the elements**: -63 kJ/mol of formula units
**Crystal system**: cubic

Cell lengths 5.747, 5.747, 5.747 Å; angles 60.00, 60.00, 60.00 degrees
Fractional coordinates of all 6 atoms:
Ce  0.000  0.000  0.000
Gd  0.750  0.750  0.750
Ag  0.375  0.375  0.375
Ag  0.375  0.375  0.874
Ag  0.375  0.874  0.375
Ag  0.874  0.375  0.375

***

DFT (PBE) results for an optimized crystal structure of Pa2MnSi3Ir4.

Output
**Final energy**: -8.86 eV per atom
**Magnetization**: 1.5 μB/cell
**E_form (uncorrected)**: -871 meV/atom
**Crystal system**: tetragonal

Cell lengths 4.073, 4.073, 10.144 Å; angles 90.00, 90.00, 90.00 degrees
Fractional coordinates of all 10 atoms:
Pa  0.000  0.500  0.249
Pa  0.500  0.000  0.751
Mn  0.500  0.500  0.000
Si  0.000  0.000  0.000
Si  0.000  0.500  0.631
Si  0.500  0.000  0.369
Ir  0.000  0.000  0.500
Ir  0.000  0.500  0.865
Ir  0.500  0.000  0.135
Ir  0.500  0.500  0.500

***

DFT (PBE) results for an optimized crystal structure of K2MoH2.

Output
**Final energy**: -3.08 eV per atom
**Magnetization**: 7.6 μB/cell
**Crystal system**: tetragonal

Cell lengths 6.462, 6.462, 4.865 Å; angles 90.00, 90.00, 90.00 degrees
Fractional coordinates of all 10 atoms:
K  0.163  0.337  0.000
K  0.337  0.837  0.000
K  0.663  0.163  0.000
K  0.837  0.663  0.000
Mo  0.000  0.000  0.500
Mo  0.500  0.500  0.500
H  0.224  0.724  0.500
H  0.276  0.224  0.500
H  0.724  0.776  0.500
H  0.776  0.276  0.500

***

DFT (PBE) results for an optimized crystal structure of BaTl2Cl.

Output
**Final energy**: -2.78 eV per atom
**Magnetization**: 0.0 μB/cell
**E_form (uncorrected)**: -657 meV/atom
**Crystal system**: orthorhombic

Cell lengths 6.691, 6.691, 4.140 Å; angles 90.00, 90.00, 125.38 degrees
Fractional coordinates of all 4 atoms:
Ba  0.000  0.000  0.000
Tl  0.000  0.500  0.500
Tl  0.500  0.000  0.500
Cl  0.500  0.500  0.000

***

DFT (PBE) results for an optimized crystal structure of RbHfSc.

Output
**Final energy**: -4.05 eV per atom
**Magnetization**: 4.6 μB/cell
**Formation energy from the elements**: 491 kJ/mol of formula units
**Crystal system**: cubic

Cell lengths 5.530, 5.530, 5.530 Å; angles 60.00, 60.00, 60.00 degrees
Fractional coordinates of all 3 atoms:
Rb  0.000  0.000  0.000
Hf  0.500  0.500  0.500
Sc  0.250  0.250  0.250

***

DFT (PBE) results for an optimized crystal structure of TiAsI2O.

Output
**Final energy**: -4.72 eV per atom
**Magnetization**: 0.0 μB/cell
**E_form (uncorrected)**: -603 meV/atom
**Crystal system**: tetragonal

Cell lengths 5.657, 5.657, 3.718 Å; angles 90.00, 90.00, 90.00 degrees
Fractional coordinates of all 5 atoms:
Ti  0.000  0.000  0.000
As  0.500  0.500  0.500
I  0.000  0.500  0.000
I  0.500  0.000  0.000
O  0.000  0.000  0.500

***

DFT (PBE) results for an optimized crystal structure of Li2TcAg.

Output
**Final energy**: -3.76 eV per atom
**Magnetization**: 1.7 μB/cell
**Formation energy from the elements**: 195 kJ/mol of formula units
**Crystal system**: tetragonal

Cell lengths 3.865, 3.865, 4.161 Å; angles 90.00, 90.00, 90.00 degrees
Fractional coordinates of all 4 atoms:
Li  0.000  0.500  0.000
Li  0.500  0.000  0.000
Tc  0.000  0.000  0.500
Ag  0.500  0.500  0.500

***

DFT (PBE) results for an optimized crystal structure of TaNiHg.

Output
**Final energy**: -5.64 eV per atom
**Magnetization**: 0.0 μB/cell
**Formation energy from the elements**: 99 kJ/mol of formula units
**Crystal system**: cubic

Cell lengths 4.245, 4.245, 4.245 Å; angles 60.00, 60.00, 60.00 degrees
Fractional coordinates of all 3 atoms:
Ta  0.000  0.000  0.000
Ni  0.250  0.250  0.250
Hg  0.500  0.500  0.500